A geometry-optimized CePRu2N structure, computed with PBE.

Values from the calculation:
Theoretical density: 8.66 Mg/m³
Formation energy from raw total energies: -81 kJ per mole of atoms
Calculated volume: 148.50 Å³ per cell
Crystal system: orthorhombic
Density of states at the Fermi level: 5.54 states/eV/f.u.

a = 6.024 Å, b = 6.024 Å, c = 7.013 Å
α = 90.00°, β = 90.00°, γ = 144.30°
Fractional positions:
Ce: 0.042 0.958 0.750
Ce: 0.958 0.042 0.250
P: 0.229 0.771 0.250
P: 0.771 0.229 0.750
Ru: 0.332 0.668 0.551
Ru: 0.332 0.668 0.949
Ru: 0.668 0.332 0.051
Ru: 0.668 0.332 0.449
N: 0.500 0.500 0.000
N: 0.500 0.500 0.500


A geometry-optimized LaMg2Co structure, computed with PBE.

Values from the calculation:
E_form: 0.11 eV/atom
Theoretical density: 4.68 Mg/m³
Calculated volume: 87.37 Å³ per cell
Crystal system: tetragonal
Density of states at the Fermi level: 2.88 states/eV/f.u.

a = 4.038 Å, b = 4.038 Å, c = 5.357 Å
α = 90.00°, β = 90.00°, γ = 90.00°
Fractional positions:
La: 0.000 0.000 0.000
Mg: 0.000 0.500 0.500
Mg: 0.500 0.000 0.500
Co: 0.500 0.500 0.000


A geometry-optimized La2ZrRu2 structure, computed with PBE.

Values from the calculation:
E_form: -0.15 eV/atom
Theoretical density: 7.95 Mg/m³
Calculated volume: 238.49 Å³ per cell
E above lowest polymorph: 0 meV per atom
Crystal system: tetragonal
Density of states at the Fermi level: 5.12 states/eV/f.u.

a = 7.200 Å, b = 7.200 Å, c = 4.600 Å
α = 90.00°, β = 90.00°, γ = 90.00°
Fractional positions:
La: 0.177 0.323 0.000
La: 0.323 0.823 0.000
La: 0.677 0.177 0.000
La: 0.823 0.677 0.000
Zr: 0.000 0.000 0.500
Zr: 0.500 0.500 0.500
Ru: 0.128 0.628 0.500
Ru: 0.372 0.128 0.500
Ru: 0.628 0.872 0.500
Ru: 0.872 0.372 0.500


Look up the density of states at the Fermi level of the third one. 5.12 states/eV/f.u.


What is the density of states at the Fermi level in the second record? 2.88 states/eV/f.u.


Look up the density of states at the Fermi level of the first one. 5.54 states/eV/f.u.


Repeat the first record exactly.
A geometry-optimized CePRu2N structure, computed with PBE.

Values from the calculation:
Theoretical density: 8.66 Mg/m³
Formation energy from raw total energies: -81 kJ per mole of atoms
Calculated volume: 148.50 Å³ per cell
Crystal system: orthorhombic
Density of states at the Fermi level: 5.54 states/eV/f.u.

a = 6.024 Å, b = 6.024 Å, c = 7.013 Å
α = 90.00°, β = 90.00°, γ = 144.30°
Fractional positions:
Ce: 0.042 0.958 0.750
Ce: 0.958 0.042 0.250
P: 0.229 0.771 0.250
P: 0.771 0.229 0.750
Ru: 0.332 0.668 0.551
Ru: 0.332 0.668 0.949
Ru: 0.668 0.332 0.051
Ru: 0.668 0.332 0.449
N: 0.500 0.500 0.000
N: 0.500 0.500 0.500